[1]
The following is a PBE calculation of crystalline Ti2ZnGaH at its relaxed geometry, from Alexandria.

```
data_Ti2ZnGaH
_chemical_formula_sum 'Ti2 Zn1 Ga1 H1'
_cell_length_a 3.963
_cell_length_b 3.963
_cell_length_c 4.073
_cell_angle_alpha 90.00
_cell_angle_beta 90.00
_cell_angle_gamma 90.00
_symmetry_space_group_name_H-M 'P 4/m m m'
_symmetry_Int_Tables_number 123
_symmetry_space_group_name_Hall '-P 4 2'
loop_
_atom_site_label
_atom_site_fract_x
_atom_site_fract_y
_atom_site_fract_z
Ti1 0.000 0.500 0.000
Zn1 0.000 0.000 0.500
Ga1 0.500 0.500 0.500
H1 0.000 0.000 0.000
```

Values from the calculation:
magnetization	0.0	μB/cell
electronic total energy	-5.003	eV per atom


[2]
The following is a PBE calculation of crystalline SmPaMnTc at its relaxed geometry, from Alexandria.

```
data_SmPaMnTc
_chemical_formula_sum 'Sm4 Pa4 Mn4 Tc4'
_cell_length_a 6.920
_cell_length_b 6.920
_cell_length_c 6.920
_cell_angle_alpha 90.00
_cell_angle_beta 90.00
_cell_angle_gamma 90.00
_symmetry_space_group_name_H-M 'F -4 3 m'
_symmetry_Int_Tables_number 216
_symmetry_space_group_name_Hall 'F -4 2 3'
loop_
_atom_site_label
_atom_site_fract_x
_atom_site_fract_y
_atom_site_fract_z
Sm1 0.000 0.000 0.000
Pa1 0.000 0.000 0.500
Mn1 0.250 0.250 0.750
Tc1 0.250 0.250 0.250
```

Values from the calculation:
magnetization	8.9	μB/cell
electronic total energy	-8.282	eV per atom
energy of formation	0.156	eV/atom